## i
RbTmI3: optimized geometry, PBE.

Cell: 10.2735 4.2941 18.0404 Å, 90.00 90.00 90.00°
Closest atoms and distances in Å follow each position.
Space group Pnma (No. 62)
Asymmetric unit:
1 Rb 0.0613 0.2500 0.1722 [4 per cell]  9 I 3.77-4.06
2 Tm 0.1207 0.7500 0.4561 [4 per cell]  6 I 3.08-3.13
3 I 0.0529 0.7500 0.6223 [4 per cell]  3 Tm 3.08-3.13
4 I 0.1751 0.7500 0.0006 [4 per cell]  2 Tm 3.11
5 I 0.2379 0.2500 0.8038 [4 per cell]  1 Tm 3.11

As for the total moment: 1.0 μB/f.u. As for the density of states at the Fermi level: 2.07 states/eV/cell. For the theoretical density, the calculation gives 5.3 g/cm³.

=====

## ii
RbTmI3: optimized geometry, PBE.

Cell: 5.9951 5.9951 5.9951 Å, 90.00 90.00 90.00°
Closest atoms and distances in Å follow each position.
Space group Pm-3m (No. 221)
Asymmetric unit:
1 Rb 0.0000 0.0000 0.0000 [1 per cell]  12 I 4.24
2 Tm 0.5000 0.5000 0.5000 [1 per cell]  6 I 3.00
3 I 0.0000 0.5000 0.5000 [3 per cell]  2 Tm 3.00

As for the total moment: 0.0 μB/f.u. As for the density of states at the Fermi level: 3.56 states/eV/cell. For the theoretical density, the calculation gives 4.9 g/cm³.

=====

## iii
RbTmI3: optimized geometry, PBE.

Cell: 8.5430 11.9615 8.2326 Å, 90.00 90.00 90.00°
Closest atoms and distances in Å follow each position.
Space group Pnma (No. 62)
Asymmetric unit:
1 Rb 0.0598 0.2500 0.0226 [4 per cell]  8 I 3.79-4.01
2 Tm 0.0000 0.0000 0.5000 [4 per cell]  6 I 3.02
3 I 0.0029 0.7500 0.4483 [4 per cell]  2 Tm 3.02
4 I 0.2098 0.5252 0.7928 [8 per cell]  2 Tm 3.02

As for the total moment: 0.0 μB/f.u. As for the density of states at the Fermi level: 11.38 states/eV/cell. For the theoretical density, the calculation gives 5.0 g/cm³.

=====

Stability ranking, top entry: i; the second entry is 9.4 kJ/mol of atoms less favorable.

=====

## i
Rb3UI6: optimized geometry, PBE.

Cell: 15.4350 9.1902 9.1157 Å, 90.00 123.28 90.00°
Closest atoms and distances in Å follow each position.
Space group C2/m (No. 12)
Asymmetric unit:
1 Rb 0.0000 0.0000 0.0000 [2 per cell]  6 I 3.61-3.73
2 Rb 0.2475 0.0000 0.7145 [4 per cell]  5 I 3.72-3.80
3 U 0.0000 0.5000 0.5000 [2 per cell]  6 I 3.14-3.15
4 I 0.0740 0.2601 0.3471 [8 per cell]  1 U 3.14
5 I 0.2214 0.5000 0.8505 [4 per cell]  1 U 3.15

As for the total moment: 3.0 μB/f.u. For the theoretical density, the calculation gives 3.9 g/cm³.

=====

## ii
Rb3UI6: optimized geometry, PBE.

Cell: 8.7293 9.4371 15.1868 Å, 90.00 123.82 90.00°
Closest atoms and distances in Å follow each position.
Space group P2_1/c (No. 14)
Asymmetric unit:
1 Rb 0.0000 0.0000 0.0000 [2 per cell]  6 I 3.63-3.71
2 Rb 0.2094 0.0849 0.7442 [4 per cell]  6 I 3.73-4.01
3 U 0.5000 0.0000 0.5000 [2 per cell]  6 I 3.14-3.16
4 I 0.1503 0.1759 0.4414 [4 per cell]  1 U 3.14
5 I 0.2620 0.7200 0.4242 [4 per cell]  1 U 3.16
6 I 0.4057 0.0547 0.2706 [4 per cell]  1 U 3.15

As for the total moment: 3.0 μB/f.u. For the theoretical density, the calculation gives 4.0 g/cm³.

=====

Stability ranking, top entry: ii; the second entry is 1.3 kJ/mol of atoms less favorable.

=====

## i
Rb2VI: optimized geometry, PBE.

Cell: 9.1225 9.1225 9.1225 Å, 90.00 90.00 90.00°
Closest atoms and distances in Å follow each position.
Space group Fm-3m (No. 225)
Asymmetric unit:
1 Rb 0.2500 0.2500 0.2500 [8 per cell]  4 I 3.95, 4 V 3.95
2 V 0.0000 0.0000 0.0000 [4 per cell]  8 Rb 3.95
3 I 0.0000 0.0000 0.5000 [4 per cell]  8 Rb 3.95

As for the total moment: 4.0 μB/f.u. As for the density of states at the Fermi level: 23.62 states/eV/cell. For the theoretical density, the calculation gives 3.1 g/cm³.

=====

## ii
Rb2VI: optimized geometry, PBE.

Cell: 9.9071 9.9071 9.4462 Å, 90.00 90.00 90.00°
Closest atoms and distances in Å follow each position.
Space group I-42d (No. 122)
Asymmetric unit:
1 Rb 0.2298 0.2500 0.1250 [8 per cell]  2 I 3.57, 2 V 3.83
2 V 0.0000 0.0000 0.5000 [4 per cell]  4 Rb 3.83
3 I 0.0000 0.0000 0.0000 [4 per cell]  4 Rb 3.57

As for the total moment: 4.0 μB/f.u. As for the density of states at the Fermi level: 25.66 states/eV/cell. For the theoretical density, the calculation gives 2.5 g/cm³.

=====

Stability ranking, top entry: i; the second entry is 4.0 kJ/mol of atoms less favorable.

=====

## i
RbW2I: optimized geometry, PBE.

Cell: 6.9096 6.9096 6.9096 Å, 90.00 90.00 90.00°
Closest atoms and distances in Å follow each position.
Space group Fm-3m (No. 225)
Asymmetric unit:
1 Rb 0.0000 0.0000 0.0000 [4 per cell]  8 W 2.99
2 W 0.2500 0.2500 0.2500 [8 per cell]  4 Rb 2.99, 4 I 2.99
3 I 0.0000 0.0000 0.5000 [4 per cell]  8 W 2.99

As for the total moment: 0.0 μB/f.u. As for the density of states at the Fermi level: 21.66 states/eV/cell. For the theoretical density, the calculation gives 11.7 g/cm³.

=====

## ii
RbW2I: optimized geometry, PBE.

Cell: 4.7238 4.7238 21.2121 Å, 90.00 90.00 90.00°
Closest atoms and distances in Å follow each position.
Space group I-42d (No. 122)
Asymmetric unit:
1 Rb 0.0000 0.0000 0.0000 [4 per cell]  4 I 3.34, 4 W 3.52
2 W 0.0772 0.2500 0.6250 [8 per cell]  2 W 2.47
3 I 0.0000 0.0000 0.5000 [4 per cell]  4 W 2.93

As for the total moment: 0.0 μB/f.u. As for the density of states at the Fermi level: 16.76 states/eV/cell. For the theoretical density, the calculation gives 8.1 g/cm³.

=====

Stability ranking, top entry: ii; the second entry is 88.1 kJ/mol of atoms less favorable.